RbCaCu3 | GGA-PBE | relaxed

abc: 5.4714 5.4714 5.4714
angles: 90.00 90.00 90.00
Sites, in units of the cell vectors:
Ca 0.5000 0.5000 0.5000
Cu 0.0000 0.5000 0.0000
Cu 0.0000 0.0000 0.5000
Cu 0.5000 0.0000 0.0000
Rb 0.0000 0.0000 0.0000

The raw total energy is -9.288 eV/cell. Its formation energy is 1193.9 meV/atom. The calculation puts the magnetic moment at 0.0 Bohr magnetons per cell.